A plane-wave DFT calculation with GGA-PBE was carried out for BiW2Br after structural relaxation.

DOS(E_F), states/eV/atom: 1.12
SG: No. 225
Energy above the lowest structure with this stoichiometry, meV/atom: 104
Uncorrected formation energy, eV per formula unit: 5.8

Lattice parameters (Å, degrees): 4.7478 4.7478 4.7478 60.00 60.00 60.00
Element x y z (fractional)
Br (0.0000, 0.0000, 0.0000)
W (0.2500, 0.2500, 0.2500)
W (0.7500, 0.7500, 0.7500)
Bi (0.5000, 0.5000, 0.5000)